The following is a GGA-PBE calculation of LaMg8Cd4 after structural relaxation, from the Open Quantum Materials Database.

Values from the calculation:
V ... 23.01 Å³ per atom
Final energy ... -23.1 eV for the cell shown

Cell lengths 7.715, 7.715, 7.715 Å; angles 98.35, 98.35, 135.20 degrees
Fractional positions:
Cd (0.500, 0.000, 0.000)
Cd (0.000, 0.500, 0.000)
Cd (0.000, 0.000, 0.500)
Cd (0.500, 0.500, 0.500)
La (0.000, 0.000, 0.000)
Mg (0.714, 0.500, 0.214)
Mg (0.500, 0.714, 0.214)
Mg (0.351, 0.000, 0.351)
Mg (0.000, 0.351, 0.351)
Mg (0.649, 0.000, 0.649)
Mg (0.000, 0.649, 0.649)
Mg (0.500, 0.286, 0.786)
Mg (0.286, 0.500, 0.786)